1.
# PBE PuAg8Te6, relaxed
# ΔE_f (raw): -0.22 eV/atom
# Total moment: 12.4 μB per cell
# Mass density: 7.78 g/cm³
# Total DFT energy (no corrections): -178.0 eV for the cell shown
data_PuAg8Te6
_space_group_name_H-M_alt 'R -3'
_space_group_IT_number 148
_space_group_name_Hall '-R 3'
_cell_length_a 7.8583
_cell_length_b 7.8583
_cell_length_c 22.4064
_cell_angle_alpha 90.00
_cell_angle_beta 90.00
_cell_angle_gamma 120.00
loop_
_atom_site_label
_atom_site_type_symbol
_atom_site_fract_x
_atom_site_fract_y
_atom_site_fract_z
Pu1 Pu 0.0000 0.0000 0.0000
Ag1 Ag 0.0000 0.0000 0.4335
Ag2 Ag 0.0270 0.2591 0.1385
Te1 Te 0.0061 0.6941 0.7360

2.
# PBE Rb2MgSiTe4, relaxed
# ΔE_f (raw): -0.43 eV/atom
# Total moment: 0.0 μB per cell
# Mass density: 4.51 g/cm³
# Total DFT energy (no corrections): -99.8 eV for the cell shown
data_Rb2MgSiTe4
_space_group_name_H-M_alt 'I m m a'
_space_group_IT_number 74
_space_group_name_Hall '-I 2b 2'
_cell_length_a 8.241
_cell_length_b 9.972
_cell_length_c 13.144
_cell_angle_alpha 90.00
_cell_angle_beta 90.00
_cell_angle_gamma 90.00
loop_
_atom_site_label
_atom_site_type_symbol
_atom_site_fract_x
_atom_site_fract_y
_atom_site_fract_z
Rb1 Rb 0.000 0.000 0.000
Rb2 Rb 0.250 0.250 0.250
Mg1 Mg 0.000 0.000 0.500
Si1 Si 0.250 0.250 0.750
Te1 Te 0.000 0.055 0.736
Te2 Te 0.212 0.250 0.525

3.
# PBE TbSmAlTl, relaxed
# Formation energy from the elements: -1.4 eV per formula unit
# Total moment: 0.0 μB per cell
# Mass density: 8.49 g/cm³
# Distance to the lowest polymorph of the same formula: 22 meV/atom
# Total DFT energy (no corrections): -67.4 eV for the cell shown
data_TbSmAlTl
_space_group_name_H-M_alt 'F -4 3 m'
_space_group_IT_number 216
_space_group_name_Hall 'F -4 2 3'
_cell_length_a 7.505
_cell_length_b 7.505
_cell_length_c 7.505
_cell_angle_alpha 90.00
_cell_angle_beta 90.00
_cell_angle_gamma 90.00
loop_
_atom_site_label
_atom_site_type_symbol
_atom_site_fract_x
_atom_site_fract_y
_atom_site_fract_z
Tb1 Tb 0.000 0.000 0.000
Sm1 Sm 0.000 0.000 0.500
Al1 Al 0.250 0.250 0.250
Tl1 Tl 0.250 0.250 0.750

4.
# PBE Cs2ThZrO6, relaxed
# ΔE_f (raw): -2.41 eV/atom
# Total moment: 8.2 μB per cell
# Mass density: 6.30 g/cm³
# Total DFT energy (no corrections): -286.1 eV for the cell shown
data_Cs2ThZrO6
_space_group_name_H-M_alt 'F m -3 m'
_space_group_IT_number 225
_space_group_name_Hall '-F 4 2 3'
_cell_length_a 8.971
_cell_length_b 8.971
_cell_length_c 8.971
_cell_angle_alpha 90.00
_cell_angle_beta 90.00
_cell_angle_gamma 90.00
loop_
_atom_site_label
_atom_site_type_symbol
_atom_site_fract_x
_atom_site_fract_y
_atom_site_fract_z
Cs1 Cs 0.250 0.250 0.250
Th1 Th 0.000 0.000 0.000
Zr1 Zr 0.000 0.000 0.500
O1 O 0.000 0.000 0.260

5.
# PBE Er3SbI7, relaxed
# ΔE_f (raw): -1.15 eV/atom
# Total moment: 1.0 μB per cell
# Mass density: 5.20 g/cm³
# Total DFT energy (no corrections): -41.3 eV for the cell shown
data_Er3SbI7
_space_group_name_H-M_alt 'P 3 m 1'
_space_group_IT_number 156
_cell_length_a 8.8576
_cell_length_b 8.8576
_cell_length_c 7.1109
_cell_angle_alpha 90.00
_cell_angle_beta 90.00
_cell_angle_gamma 120.00
loop_
_space_group_symop_operation_xyz
'x,y,z'
'-y,x-y,z'
'-x+y,-x,z'
'-y,-x,z'
'-x+y,y,z'
'x,x-y,z'
loop_
_atom_site_label
_atom_site_type_symbol
_atom_site_fract_x
_atom_site_fract_y
_atom_site_fract_z
Er1 Er 0.0049 0.5025 0.0000
Sb1 Sb 0.3333 0.6667 0.2285
I1 I 0.1740 0.3481 0.7504
I2 I 0.3419 0.1710 0.2275
I3 I 0.6667 0.3333 0.7438

6.
# PBE La2DyHo5Sc, relaxed
# Formation energy from the elements: 1.4 eV per formula unit
# Total moment: 0.0 μB per cell
# Mass density: 7.50 g/cm³
# Total DFT energy (no corrections): -169.2 eV for the cell shown
data_La2DyHo5Sc
_space_group_name_H-M_alt 'C m c 21'
_space_group_IT_number 36
_cell_length_a 5.576
_cell_length_b 19.902
_cell_length_c 10.450
_cell_angle_alpha 90.00
_cell_angle_beta 90.00
_cell_angle_gamma 90.00
loop_
_space_group_symop_operation_xyz
'x,y,z'
'-x,-y,z+1/2'
'-x,y,z'
'x,-y,z+1/2'
'x+1/2,y+1/2,z'
'-x+1/2,-y+1/2,z+1/2'
'-x+1/2,y+1/2,z'
'x+1/2,-y+1/2,z+1/2'
loop_
_atom_site_label
_atom_site_type_symbol
_atom_site_fract_x
_atom_site_fract_y
_atom_site_fract_z
La1 La 0.000 0.114 0.000
La2 La 0.000 0.116 0.421
Dy1 Dy 0.000 0.409 0.148
Ho1 Ho 0.000 0.016 0.704
Ho2 Ho 0.000 0.276 0.005
Ho3 Ho 0.000 0.297 0.388
Ho4 Ho 0.000 0.375 0.705
Ho5 Ho 0.000 0.483 0.427
Sc1 Sc 0.000 0.197 0.700

7.
# PBE Ba4YTl, relaxed
# Formation energy from the elements: 2.4 eV per formula unit
# Total moment: 8.8 μB per cell
# Mass density: 4.81 g/cm³
# Total DFT energy (no corrections): -56.3 eV for the cell shown
data_Ba4YTl
_space_group_name_H-M_alt 'F -4 3 m'
_space_group_IT_number 216
_space_group_name_Hall 'F -4 2 3'
_cell_length_a 10.520
_cell_length_b 10.520
_cell_length_c 10.520
_cell_angle_alpha 90.00
_cell_angle_beta 90.00
_cell_angle_gamma 90.00
loop_
_atom_site_label
_atom_site_type_symbol
_atom_site_fract_x
_atom_site_fract_y
_atom_site_fract_z
Ba1 Ba 0.125 0.125 0.125
Y1 Y 0.000 0.000 0.500
Tl1 Tl 0.250 0.250 0.750

8.
# PBE USeN, relaxed
# ΔE_f (raw): -0.35 eV/atom
# Total moment: 4.0 μB per cell
# Mass density: 9.60 g/cm³
# Distance to the lowest polymorph of the same formula: 1066 meV/atom
# Total DFT energy (no corrections): -96.6 eV for the cell shown
data_USeN
_space_group_name_H-M_alt 'F -4 3 m'
_space_group_IT_number 216
_space_group_name_Hall 'F -4 2 3'
_cell_length_a 6.119
_cell_length_b 6.119
_cell_length_c 6.119
_cell_angle_alpha 90.00
_cell_angle_beta 90.00
_cell_angle_gamma 90.00
loop_
_atom_site_label
_atom_site_type_symbol
_atom_site_fract_x
_atom_site_fract_y
_atom_site_fract_z
U1 U 0.000 0.000 0.000
Se1 Se 0.250 0.250 0.750
N1 N 0.250 0.250 0.250

9.
# PBE La5CeCd4, relaxed
# Formation energy from the elements: -2.4 eV per formula unit
# Total moment: 0.5 μB per cell
# Mass density: 6.96 g/cm³
# Total DFT energy (no corrections): -36.6 eV for the cell shown
data_La5CeCd4
_space_group_name_H-M_alt 'P 4/m m m'
_space_group_IT_number 123
_space_group_name_Hall '-P 4 2'
_cell_length_a 3.828
_cell_length_b 3.828
_cell_length_c 20.917
_cell_angle_alpha 90.00
_cell_angle_beta 90.00
_cell_angle_gamma 90.00
loop_
_atom_site_label
_atom_site_type_symbol
_atom_site_fract_x
_atom_site_fract_y
_atom_site_fract_z
La1 La 0.000 0.000 0.000
La2 La 0.000 0.000 0.195
La3 La 0.000 0.000 0.392
Ce1 Ce 0.500 0.500 0.500
Cd1 Cd 0.500 0.500 0.096
Cd2 Cd 0.500 0.500 0.295